No. 1
# TcGeOsN

A relaxed structure of TcGeOsN (PBE, Alexandria via LeMat-Bulk).

Properties
The raw formation energy is 308 meV per atom. The total magnetic moment is 0.000 μB/atom. The energy above the most stable polymorph in this dataset comes out at 162 meV/atom. Its total DFT energy (no corrections) is -66.61 eV for the cell shown.

```
data_TcGeOsN
_cell_length_a 5.6784
_cell_length_b 2.7485
_cell_length_c 7.3923
_cell_angle_alpha 90.00
_cell_angle_beta 95.80
_cell_angle_gamma 90.00
_space_group_name_H-M_alt 'P 1'
_space_group_IT_number 1
loop_
_space_group_symop_operation_xyz
'x,y,z'
loop_
_atom_site_label
_atom_site_type_symbol
_atom_site_fract_x
_atom_site_fract_y
_atom_site_fract_z
Ge1 Ge 0.2489 0.5000 0.2279
Ge2 Ge 0.2489 0.0000 0.7279
Os1 Os 0.9845 0.5000 0.9213
Os2 Os 0.9845 0.0000 0.4213
Tc1 Tc 0.6817 0.0000 0.6969
Tc2 Tc 0.6817 0.5000 0.1969
N1 N 0.7219 0.5000 0.4808
N2 N 0.7219 0.0000 0.9808
```

=====

No. 2
# TcGeOsN

A relaxed structure of TcGeOsN (PBE, Alexandria via LeMat-Bulk).

Properties
The raw formation energy is 250 meV per atom. The total magnetic moment is 0.000 μB/atom. The energy above the most stable polymorph in this dataset comes out at 104 meV/atom. Its total DFT energy (no corrections) is -67.08 eV for the cell shown.

```
data_TcGeOsN
_cell_length_a 3.9628
_cell_length_b 2.8663
_cell_length_c 9.5197
_cell_angle_alpha 90.00
_cell_angle_beta 102.69
_cell_angle_gamma 90.00
_space_group_name_H-M_alt 'P 1'
_space_group_IT_number 1
loop_
_space_group_symop_operation_xyz
'x,y,z'
loop_
_atom_site_label
_atom_site_type_symbol
_atom_site_fract_x
_atom_site_fract_y
_atom_site_fract_z
Os1 Os 0.9754 0.5000 0.4647
Os2 Os 0.9754 0.0000 0.9647
N1 N 0.4530 0.5000 0.4276
N2 N 0.4530 0.0000 0.9276
Tc1 Tc 0.3915 0.0000 0.2715
Tc2 Tc 0.3915 0.5000 0.7715
Ge1 Ge 0.8277 0.5000 0.1637
Ge2 Ge 0.8277 0.0000 0.6637
```

=====

No. 3
# TcGeOsN

A relaxed structure of TcGeOsN (PBE, Alexandria via LeMat-Bulk).

Properties
The raw formation energy is 146 meV per atom. The total magnetic moment is 0.000 μB/atom. The energy above the most stable polymorph in this dataset comes out at 0 meV/atom. Its total DFT energy (no corrections) is -67.91 eV for the cell shown.

```
data_TcGeOsN
_cell_length_a 2.9092
_cell_length_b 2.8405
_cell_length_c 13.0907
_cell_angle_alpha 90.00
_cell_angle_beta 90.00
_cell_angle_gamma 90.00
_space_group_name_H-M_alt 'P 1'
_space_group_IT_number 1
loop_
_space_group_symop_operation_xyz
'x,y,z'
loop_
_atom_site_label
_atom_site_type_symbol
_atom_site_fract_x
_atom_site_fract_y
_atom_site_fract_z
Os1 Os 0.5000 0.5000 0.6142
Os2 Os 0.5000 0.0000 0.1142
N1 N 0.5000 0.5000 0.2319
N2 N 0.5000 0.0000 0.7319
Tc1 Tc 0.0000 0.0000 0.4878
Tc2 Tc 0.0000 0.5000 0.9878
Ge1 Ge 0.0000 0.0000 0.8278
Ge2 Ge 0.0000 0.5000 0.3278
```

=====

No. 4
# TcGeOsN

A relaxed structure of TcGeOsN (PBE, Alexandria via LeMat-Bulk).

Properties
The raw formation energy is 293 meV per atom. The total magnetic moment is 0.110 μB/atom. The energy above the most stable polymorph in this dataset comes out at 146 meV/atom. Its total DFT energy (no corrections) is -100.10 eV for the cell shown.

```
data_TcGeOsN
_cell_length_a 2.9611
_cell_length_b 2.9611
_cell_length_c 20.9761
_cell_angle_alpha 90.00
_cell_angle_beta 90.00
_cell_angle_gamma 120.00
_space_group_name_H-M_alt 'P 1'
_space_group_IT_number 1
loop_
_space_group_symop_operation_xyz
'x,y,z'
loop_
_atom_site_label
_atom_site_type_symbol
_atom_site_fract_x
_atom_site_fract_y
_atom_site_fract_z
Os1 Os 0.6667 0.3333 0.3734
Os2 Os 0.0000 0.0000 0.0401
Os3 Os 0.3333 0.6667 0.7067
Ge1 Ge 0.3333 0.6667 0.5187
Ge2 Ge 0.6667 0.3333 0.1853
Ge3 Ge 0.0000 0.0000 0.8520
Tc1 Tc 0.0000 0.0000 0.6033
Tc2 Tc 0.3333 0.6667 0.2699
Tc3 Tc 0.6667 0.3333 0.9366
N1 N 0.3333 0.6667 0.4286
N2 N 0.6667 0.3333 0.0952
N3 N 0.0000 0.0000 0.7619
```

=====

Quick rundown of N(E_F), same order as above: 5.329 5.693 3.280 14.690 states/eV per cell